1.
A plane-wave DFT calculation with PBEsol was carried out for a geometry-optimized Sc2MnO structure.

Cell lengths 3.0534, 3.0534, 7.6510 Å; angles 78.49, 78.49, 60.00 degrees
With the nearest neighbours (Å) after each atom.
Fractional coordinates of all 4 atoms:
Mn  0.0000  0.0000  0.0000  2 Sc 2.45
Sc  0.8904  0.8904  0.3288  3 O 2.18
O  0.5000  0.5000  0.5000  6 Sc 2.18
Sc  0.1096  0.1096  0.6712  3 O 2.18

## Properties
E_form (uncorrected), meV per atom: -1052

---

2.
A plane-wave DFT calculation with PBEsol was carried out for a geometry-optimized Mn3Se3O10 structure.

Cell lengths 6.6312, 8.4873, 9.5296 Å; angles 64.86, 69.64, 67.00 degrees
With the nearest neighbours (Å) after each atom.
Fractional coordinates of all 32 atoms:
Mn  0.3810  0.1516  0.0863  4 O 1.86-2.03
Mn  0.6190  0.8484  0.9137  4 O 1.86-2.03
O  0.7820  0.0785  0.3576  1 Se 1.76
Mn  0.0000  0.0000  0.5000  4 O 1.99-2.05
O  0.0573  0.5123  0.7843  1 Se 1.72, 1 Mn 1.92
O  0.0633  0.1851  0.0822  1 Se 1.72
Mn  0.5000  0.5000  0.0000  4 O 1.84-1.92
O  0.2180  0.9215  0.6424  1 Se 1.76
Se  0.1088  0.9554  0.8270  3 O 1.72-1.76
O  0.7516  0.8303  0.6664  1 Se 1.78
O  0.3045  0.4031  0.9879  3 Mn 1.84-1.86
O  0.1883  0.7994  0.4134  1 Se 1.72
Se  0.8912  0.0446  0.1730  3 O 1.72-1.76
O  0.5159  0.1107  0.8574  1 Se 1.76, 1 Mn 1.94
O  0.4010  0.2006  0.5866  1 Se 1.72
Se  0.5300  0.2747  0.6654  3 O 1.72-1.76
Se  0.8651  0.6024  0.6675  3 O 1.72-1.78
O  0.4841  0.8893  0.1426  1 Se 1.76, 1 Mn 1.94
O  0.9367  0.8149  0.9178  1 Se 1.72
O  0.9427  0.4877  0.2157  1 Se 1.72, 1 Mn 1.92
O  0.6694  0.1851  0.0822  1 Se 1.72
Mn  0.5000  0.0000  0.5000  4 O 1.99-2.05
O  0.5990  0.7994  0.4134  1 Se 1.72
Se  0.1349  0.3976  0.3325  3 O 1.72-1.78
O  0.2484  0.1697  0.3336  1 Se 1.78
O  0.6955  0.5969  0.0121  3 Mn 1.84-1.86
O  0.3539  0.4877  0.2157  1 Se 1.72, 1 Mn 1.92
Se  0.4700  0.7253  0.3346  3 O 1.72-1.76
O  0.8117  0.2006  0.5866  1 Se 1.72
O  0.3306  0.8149  0.9178  1 Se 1.72
Mn  0.0000  0.5000  0.0000  4 O 1.84-1.92
O  0.6461  0.5123  0.7843  1 Se 1.72, 1 Mn 1.92

## Properties
E_form (uncorrected), meV per atom: -1124

---

3.
A plane-wave DFT calculation with PBEsol was carried out for a geometry-optimized MnSe2O6 structure.

Cell lengths 5.0636, 6.6596, 7.2465 Å; angles 90.00, 90.82, 90.00 degrees
With the nearest neighbours (Å) after each atom.
Fractional coordinates of all 18 atoms:
Se  0.9851  0.3259  0.8033  3 O 1.73-1.76
O  0.9430  0.9216  0.2529  1 Se 1.74, 1 Mn 1.88
O  0.1955  0.2255  0.4180  1 Se 1.73, 1 Mn 1.90
Mn  0.0000  0.0000  0.5000  6 O 1.88-1.90
Se  0.4851  0.1741  0.3033  3 O 1.73-1.76
O  0.6952  0.1610  0.4980  1 Se 1.76, 1 Mn 1.88
O  0.6955  0.2745  0.9180  1 Se 1.73, 1 Mn 1.90
Se  0.0149  0.6741  0.1967  3 O 1.73-1.76
O  0.3045  0.7255  0.0820  1 Se 1.73, 1 Mn 1.90
O  0.5570  0.4216  0.2471  1 Se 1.74, 1 Mn 1.88
O  0.0570  0.0784  0.7471  1 Se 1.74, 1 Mn 1.88
Mn  0.5000  0.5000  0.0000  6 O 1.88-1.90
O  0.8045  0.7745  0.5820  1 Se 1.73, 1 Mn 1.90
O  0.4430  0.5784  0.7529  1 Se 1.74, 1 Mn 1.88
O  0.8048  0.6610  0.0020  1 Se 1.76, 1 Mn 1.88
O  0.3048  0.8390  0.5020  1 Se 1.76, 1 Mn 1.88
O  0.1952  0.3390  0.9980  1 Se 1.76, 1 Mn 1.88
Se  0.5149  0.8259  0.6967  3 O 1.73-1.76

## Properties
E_form (uncorrected), meV per atom: -1067